No. 1
# Dy3HoTm6Sc2

Dy3HoTm6Sc2 after structural relaxation (PBE, Alexandria). Values from VASP.

Values from the calculation:
**DFT formation energy**: 0.038 eV per atom
**D(E_F)**: 17.9 states/eV/f.u.
**Uncorrected energy**: -4.785 eV per atom

Cell and atoms, written as Quantum ESPRESSO input:
```
&SYSTEM
  ibrav = 0, nat = 12, ntyp = 4
/
ATOMIC_SPECIES
Dy 162.50 Dy.upf
Ho 164.93 Ho.upf
Tm 168.93 Tm.upf
Sc 44.96 Sc.upf
CELL_PARAMETERS angstrom
-4.297 -4.192 0.243
3.131 0.796 -5.065
7.994 -6.465 5.111
ATOMIC_POSITIONS crystal
Dy 0.167 0.833 0.500
Dy 0.833 0.167 0.500
Dy 0.500 0.500 0.500
Ho 0.000 0.000 0.000
Tm 0.918 0.583 0.755
Tm 0.746 0.746 0.245
Tm 0.082 0.417 0.245
Tm 0.583 0.918 0.755
Tm 0.254 0.254 0.755
Tm 0.417 0.082 0.245
Sc 0.333 0.667 0.000
Sc 0.667 0.333 0.000
```

***

No. 2
# Dy6Ho3Tm2Sc

Dy6Ho3Tm2Sc after structural relaxation (PBE, Alexandria). Values from VASP.

Values from the calculation:
**DFT formation energy**: 0.028 eV per atom
**D(E_F)**: 16.9 states/eV/f.u.
**Uncorrected energy**: -4.690 eV per atom

Cell and atoms, written as Quantum ESPRESSO input:
```
&SYSTEM
  ibrav = 0, nat = 12, ntyp = 4
/
ATOMIC_SPECIES
Dy 162.50 Dy.upf
Ho 164.93 Ho.upf
Tm 168.93 Tm.upf
Sc 44.96 Sc.upf
CELL_PARAMETERS angstrom
-1.857 2.053 -5.406
-4.084 -1.604 4.200
1.956 10.525 4.459
ATOMIC_POSITIONS crystal
Dy 0.918 0.587 0.753
Dy 0.751 0.751 0.247
Dy 0.082 0.413 0.247
Dy 0.587 0.918 0.753
Dy 0.249 0.249 0.753
Dy 0.413 0.082 0.247
Ho 0.166 0.834 0.500
Ho 0.834 0.166 0.500
Ho 0.500 0.500 0.500
Tm 0.333 0.667 0.000
Tm 0.667 0.333 0.000
Sc 0.000 0.000 0.000
```

***

No. 3
# DyHo4TmSc2

DyHo4TmSc2 after structural relaxation (PBE, Alexandria). Values from VASP.

Values from the calculation:
**DFT formation energy**: 0.041 eV per atom
**D(E_F)**: 12.5 states/eV/f.u.
**Uncorrected energy**: -4.965 eV per atom

Cell and atoms, written as Quantum ESPRESSO input:
```
&SYSTEM
  ibrav = 0, nat = 8, ntyp = 4
/
ATOMIC_SPECIES
Dy 162.50 Dy.upf
Ho 164.93 Ho.upf
Tm 168.93 Tm.upf
Sc 44.96 Sc.upf
CELL_PARAMETERS angstrom
-3.304 -2.831 -2.286
7.503 -7.728 -1.274
0.386 -3.342 3.581
ATOMIC_POSITIONS crystal
Dy 0.500 0.500 0.000
Ho 0.000 0.760 0.740
Ho 0.000 0.240 0.260
Ho 0.500 0.760 0.240
Ho 0.500 0.240 0.760
Tm 0.000 0.500 0.500
Sc 0.000 0.000 0.000
Sc 0.500 0.000 0.500
```

***

No. 4
# Dy2Ho6TmSc3

Dy2Ho6TmSc3 after structural relaxation (PBE, Alexandria). Values from VASP.

Values from the calculation:
**DFT formation energy**: 0.043 eV per atom
**D(E_F)**: 18.0 states/eV/f.u.
**Uncorrected energy**: -4.968 eV per atom

Cell and atoms, written as Quantum ESPRESSO input:
```
&SYSTEM
  ibrav = 0, nat = 12, ntyp = 4
/
ATOMIC_SPECIES
Dy 162.50 Dy.upf
Ho 164.93 Ho.upf
Tm 168.93 Tm.upf
Sc 44.96 Sc.upf
CELL_PARAMETERS angstrom
-4.405 2.285 -3.385
0.212 -5.909 1.058
-4.926 2.621 9.953
ATOMIC_POSITIONS crystal
Dy 0.333 0.667 0.000
Dy 0.667 0.333 0.000
Ho 0.914 0.580 0.742
Ho 0.753 0.753 0.258
Ho 0.086 0.420 0.258
Ho 0.580 0.914 0.742
Ho 0.247 0.247 0.742
Ho 0.420 0.086 0.258
Tm 0.000 0.000 0.000
Sc 0.167 0.833 0.500
Sc 0.833 0.167 0.500
Sc 0.500 0.500 0.500
```

***

No. 5
# Dy2Ho2TmSc

Dy2Ho2TmSc after structural relaxation (PBE, Alexandria). Values from VASP.

Values from the calculation:
**DFT formation energy**: 0.281 eV per atom
**D(E_F)**: 8.8 states/eV/f.u.
**Uncorrected energy**: -4.579 eV per atom

Cell and atoms, written as Quantum ESPRESSO input:
```
&SYSTEM
  ibrav = 0, nat = 12, ntyp = 4
/
ATOMIC_SPECIES
Dy 162.50 Dy.upf
Ho 164.93 Ho.upf
Tm 168.93 Tm.upf
Sc 44.96 Sc.upf
CELL_PARAMETERS angstrom
-2.642 -0.517 1.911
-2.847 -3.270 -4.820
7.011 -14.576 5.748
ATOMIC_POSITIONS crystal
Dy 0.500 0.252 0.321
Dy 0.000 0.752 0.179
Dy 0.500 0.748 0.679
Dy 0.000 0.248 0.821
Ho 0.500 0.755 0.353
Ho 0.500 0.245 0.647
Ho 0.000 0.745 0.853
Ho 0.000 0.255 0.147
Tm 0.500 0.500 0.000
Tm 0.000 0.000 0.500
Sc 0.000 0.000 0.000
Sc 0.500 0.500 0.500
```

***

No. 6
# Dy6HoTm2Sc3

Dy6HoTm2Sc3 after structural relaxation (PBE, Alexandria). Values from VASP.

Values from the calculation:
**DFT formation energy**: 0.043 eV per atom
**D(E_F)**: 17.6 states/eV/f.u.
**Uncorrected energy**: -4.967 eV per atom

Cell and atoms, written as Quantum ESPRESSO input:
```
&SYSTEM
  ibrav = 0, nat = 12, ntyp = 4
/
ATOMIC_SPECIES
Dy 162.50 Dy.upf
Ho 164.93 Ho.upf
Tm 168.93 Tm.upf
Sc 44.96 Sc.upf
CELL_PARAMETERS angstrom
-5.815 0.501 1.450
4.110 -0.823 4.313
1.768 11.218 -0.940
ATOMIC_POSITIONS crystal
Dy 0.914 0.581 0.742
Dy 0.753 0.753 0.258
Dy 0.086 0.419 0.258
Dy 0.581 0.914 0.742
Dy 0.247 0.247 0.742
Dy 0.419 0.086 0.258
Ho 0.000 0.000 0.000
Tm 0.333 0.667 0.000
Tm 0.667 0.333 0.000
Sc 0.167 0.833 0.500
Sc 0.833 0.167 0.500
Sc 0.500 0.500 0.500
```

***

No. 7
# Dy2Ho6TmSc

Dy2Ho6TmSc after structural relaxation (PBE, Alexandria). Values from VASP.

Values from the calculation:
**DFT formation energy**: 0.126 eV per atom
**D(E_F)**: 12.7 states/eV/f.u.
**Uncorrected energy**: -4.621 eV per atom

Cell and atoms, written as Quantum ESPRESSO input:
```
&SYSTEM
  ibrav = 0, nat = 20, ntyp = 4
/
ATOMIC_SPECIES
Dy 162.50 Dy.upf
Ho 164.93 Ho.upf
Tm 168.93 Tm.upf
Sc 44.96 Sc.upf
CELL_PARAMETERS angstrom
-0.322 8.990 2.735
-8.367 -0.330 -2.028
2.316 -2.926 7.765
ATOMIC_POSITIONS crystal
Dy 0.454 0.801 0.698
Dy 0.046 0.302 0.199
Dy 0.546 0.199 0.302
Dy 0.954 0.698 0.801
Ho 0.056 0.126 0.752
Ho 0.444 0.248 0.874
Ho 0.944 0.874 0.248
Ho 0.556 0.752 0.126
Ho 0.311 0.991 0.432
Ho 0.189 0.568 0.009
Ho 0.689 0.009 0.568
Ho 0.811 0.432 0.991
Ho 0.117 0.707 0.496
Ho 0.383 0.504 0.293
Ho 0.883 0.293 0.504
Ho 0.617 0.496 0.707
Tm 0.250 0.979 0.021
Tm 0.750 0.021 0.979
Sc 0.250 0.412 0.588
Sc 0.750 0.588 0.412
```

***

No. 8
# DyHoTm4Sc2

DyHoTm4Sc2 after structural relaxation (PBE, Alexandria). Values from VASP.

Values from the calculation:
**DFT formation energy**: 0.043 eV per atom
**D(E_F)**: 11.7 states/eV/f.u.
**Uncorrected energy**: -4.923 eV per atom

Cell and atoms, written as Quantum ESPRESSO input:
```
&SYSTEM
  ibrav = 0, nat = 8, ntyp = 4
/
ATOMIC_SPECIES
Dy 162.50 Dy.upf
Ho 164.93 Ho.upf
Tm 168.93 Tm.upf
Sc 44.96 Sc.upf
CELL_PARAMETERS angstrom
-3.205 -0.033 1.256
0.208 -5.941 0.375
4.156 -1.175 10.577
ATOMIC_POSITIONS crystal
Dy 0.500 0.500 0.000
Ho 0.000 0.500 0.500
Tm 0.000 0.753 0.747
Tm 0.000 0.247 0.253
Tm 0.500 0.753 0.248
Tm 0.500 0.247 0.752
Sc 0.000 0.000 0.000
Sc 0.500 0.000 0.500
```

***

No. 9
# DyHoTm5Sc2

DyHoTm5Sc2 after structural relaxation (PBE, Alexandria). Values from VASP.

Values from the calculation:
**DFT formation energy**: 0.171 eV per atom
**D(E_F)**: 13.8 states/eV/f.u.
**Uncorrected energy**: -4.740 eV per atom

Cell and atoms, written as Quantum ESPRESSO input:
```
&SYSTEM
  ibrav = 0, nat = 18, ntyp = 4
/
ATOMIC_SPECIES
Dy 162.50 Dy.upf
Ho 164.93 Ho.upf
Tm 168.93 Tm.upf
Sc 44.96 Sc.upf
CELL_PARAMETERS angstrom
-4.003 -3.757 -0.568
9.256 -5.576 -1.542
0.417 -1.812 9.050
ATOMIC_POSITIONS crystal
Dy 0.814 0.628 0.517
Dy 0.186 0.372 0.017
Ho 0.598 0.196 0.920
Ho 0.402 0.804 0.420
Tm 0.391 0.783 0.046
Tm 0.736 0.472 0.836
Tm 0.469 0.938 0.748
Tm 0.307 0.614 0.719
Tm 0.989 0.978 0.516
Tm 0.609 0.217 0.546
Tm 0.264 0.528 0.336
Tm 0.531 0.062 0.248
Tm 0.693 0.386 0.219
Tm 0.011 0.022 0.016
Sc 0.887 0.775 0.823
Sc 0.137 0.275 0.698
Sc 0.113 0.225 0.323
Sc 0.863 0.725 0.198
```

***

No. 10
# Dy2Ho3Tm6Sc

Dy2Ho3Tm6Sc after structural relaxation (PBE, Alexandria). Values from VASP.

Values from the calculation:
**DFT formation energy**: 0.031 eV per atom
**D(E_F)**: 17.1 states/eV/f.u.
**Uncorrected energy**: -4.644 eV per atom

Cell and atoms, written as Quantum ESPRESSO input:
```
&SYSTEM
  ibrav = 0, nat = 12, ntyp = 4
/
ATOMIC_SPECIES
Dy 162.50 Dy.upf
Ho 164.93 Ho.upf
Tm 168.93 Tm.upf
Sc 44.96 Sc.upf
CELL_PARAMETERS angstrom
6.035 0.002 -0.006
-3.014 5.229 -0.006
-0.992 -1.718 11.390
ATOMIC_POSITIONS crystal
Dy 0.333 0.667 0.000
Dy 0.667 0.333 0.000
Ho 0.166 0.834 0.500
Ho 0.834 0.166 0.500
Ho 0.500 0.500 0.500
Tm 0.918 0.587 0.752
Tm 0.751 0.751 0.248
Tm 0.082 0.413 0.248
Tm 0.587 0.918 0.752
Tm 0.249 0.249 0.752
Tm 0.413 0.082 0.248
Sc 0.000 0.000 0.000
```